A plane-wave DFT calculation with PBE was carried out for crystalline SrLi2TlPd at its relaxed geometry.

Structure (POSCAR):
```
SrLi2TlPd
1.0
-4.1995 -1.7025 1.9759
2.0805 0.0720 4.4839
-1.6873 4.9779 0.7030
Sr Li Tl Pd
1 2 1 1
direct
0.5000 0.5000 0.5000
0.5000 0.0000 0.0000
0.0000 0.5000 0.0000
0.0000 0.0000 0.5000
0.0000 0.0000 0.0000
```

Values from the calculation:
total energy	-2.86	eV/atom
symmetry	No. 123
crystal system	tetragonal
ΔH_f (0 K)	-250	meV/atom
Fermi-level density of states	0.25	states/eV/atom